First-principles (PBE+U) data for crystalline BaFeO4 at its relaxed geometry, as listed in the Alexandria database.

Unit cell a=5.569 b=7.441 c=9.226 alpha=90.00 beta=90.00 gamma=90.00
Positions (direct):
Ba  0.250  0.654  0.183
Ba  0.750  0.346  0.817
Ba  0.750  0.154  0.317
Ba  0.250  0.846  0.683
Fe  0.250  0.193  0.061
Fe  0.750  0.807  0.939
Fe  0.750  0.693  0.439
Fe  0.250  0.307  0.561
O  0.250  0.385  0.394
O  0.750  0.615  0.606
O  0.750  0.885  0.106
O  0.250  0.115  0.894
O  0.250  0.036  0.188
O  0.750  0.964  0.812
O  0.750  0.536  0.312
O  0.250  0.464  0.688
O  0.009  0.323  0.084
O  0.991  0.677  0.916
O  0.991  0.823  0.416
O  0.509  0.677  0.916
O  0.009  0.177  0.584
O  0.491  0.323  0.084
O  0.491  0.177  0.584
O  0.509  0.823  0.416

Computed properties:
Theoretical density (g/cm³): 4.5
E_tot (eV for the cell shown): -142.0